TiSiSe3 | GGA-PBE | relaxed

Calculated values
Offset from the most stable computed form, eV/atom: 0.000
E_form (uncorrected), eV/atom: 0.014

Cell and atoms, written as POSCAR:
```
TiSiSe3
1.0
-2.855 -0.356 4.003
3.530 -2.569 2.289
1.921 4.192 1.742
Se Si Ti
3 1 1
Cartesian
-1.427 -0.178 2.001 Se
1.765 -1.284 1.145 Se
0.960 2.096 0.871 Se
1.298 0.634 4.017 Si
0.000 0.000 0.000 Ti
```